1.
# TcMoRh2

TcMoRh2 after structural relaxation (PBE-GGA, the Alexandria database).

Unit cell a=4.7284 b=4.7284 c=4.8197 alpha=99.06 beta=99.06 gamma=33.43
Closest atoms and distances in Å follow each position.
Atoms (fractional coordinates):
Tc  0.0000  0.0000  0.0000  7 Rh 2.67-2.80, 2 Tc 2.72, 3 Mo 2.81
Mo  0.2477  0.2477  0.7190  7 Rh 2.69-2.77, 2 Mo 2.72, 3 Tc 2.81
Rh  0.5002  0.5002  0.4922  3 Mo 2.69-2.70, 5 Rh 2.72-2.81, 4 Tc 2.73-2.80
Rh  0.7457  0.7457  0.2169  3 Tc 2.67-2.68, 5 Rh 2.72-2.81, 4 Mo 2.76-2.77

Output
* formation enthalpy at 0 K: -0.09 eV per atom
* energy relative to the lowest polymorph listed for this composition: 118 meV per atom

---

2.
# HgOs2Cl

HgOs2Cl after structural relaxation (PBE-GGA, the Alexandria database).

Unit cell a=4.6382 b=4.6382 c=3.0805 alpha=90.00 beta=90.00 gamma=90.00
Closest atoms and distances in Å follow each position.
Atoms (fractional coordinates):
Hg  0.0000  0.0000  0.0000  8 Os 2.78, 2 Hg 3.08
Os  0.0000  0.5000  0.5000  4 Hg 2.78, 4 Cl 2.78, 2 Os 3.08
Os  0.5000  0.0000  0.5000  4 Hg 2.78, 4 Cl 2.78, 2 Os 3.08
Cl  0.5000  0.5000  0.0000  8 Os 2.78, 2 Cl 3.08

Output
* formation energy from raw total energies: 1.698 eV/atom
* energy relative to the lowest polymorph listed for this composition: 1345 meV per atom

---

3.
# DyNpNi10

DyNpNi10 after structural relaxation (PBE-GGA, the Alexandria database).

Unit cell a=3.9621 b=4.8631 c=8.4203 alpha=90.00 beta=90.00 gamma=90.00
Closest atoms and distances in Å follow each position.
Atoms (fractional coordinates):
Dy  0.0000  0.0000  0.0000  18 Ni 2.83-3.15
Np  0.0000  0.5000  0.5000  6 Ni 2.76-2.80
Ni  0.0000  0.0000  0.3361  6 Ni 2.41-2.43
Ni  0.0000  0.0000  0.6639  6 Ni 2.41-2.43
Ni  0.0000  0.5000  0.1717  6 Ni 2.42-2.45
Ni  0.0000  0.5000  0.8283  6 Ni 2.42-2.45
Ni  0.5000  0.0000  0.5000  8 Ni 2.41-2.42
Ni  0.5000  0.2518  0.2520  8 Ni 2.41-2.45
Ni  0.5000  0.2518  0.7480  8 Ni 2.41-2.45
Ni  0.5000  0.5000  0.0000  8 Ni 2.44-2.45
Ni  0.5000  0.7482  0.2520  8 Ni 2.41-2.45
Ni  0.5000  0.7482  0.7480  8 Ni 2.41-2.45

Output
* formation enthalpy at 0 K: -0.23 eV per atom